{"formula": "Sr2AgO4", "functional": "PBE-GGA", "state": "optimized geometry", "dft_energy_ev_per_atom": -4.9015, "space_group": "Fd-3m (227)", "lattice": [[-0.4463, 6.4410, 2.6023], [0.7077, -0.9393, -6.8611], [-5.9768, -1.6873, 3.1446]], "species": ["Ag", "Ag", "O", "O", "O", "O", "O", "O", "O", "O", "Sr", "Sr", "Sr", "Sr"], "frac_coords": [[0.0000, 0.0000, 0.0000], [0.7500, 0.5000, 0.2500], [0.1242, 0.2485, 0.3727], [0.1227, 0.7485, 0.3742], [0.6257, 0.2515, 0.3742], [0.6258, 0.7485, 0.3743], [0.1242, 0.7515, 0.8757], [0.1243, 0.2485, 0.8758], [0.6273, 0.7515, 0.8758], [0.6258, 0.2515, 0.8773], [0.3750, 0.7500, 0.1250], [0.3750, 0.7500, 0.6250], [0.8750, 0.2500, 0.6250], [0.3750, 0.2500, 0.6250]]}